Entry 1:
First-principles (PBE) data for a relaxed Sr2IrBr crystal, as listed in Alexandria.

POSCAR file:
```
Sr2IrBr
1.0
-0.525 -6.876 -1.131
5.600 0.259 -4.173
6.457 -4.462 2.537
Br Sr Ir
2 4 2
Direct
0.250 0.750 0.500
0.500 0.500 0.000
0.670 0.125 0.250
0.375 0.330 0.750
0.875 0.920 0.750
0.080 0.625 0.250
0.750 0.250 0.500
0.000 0.000 0.000
```

Calculated values
* offset from the most stable computed form: 298 meV per atom
* ΔE_f (raw): -510 meV per atom

Entry 2:
First-principles (PBE) data for a relaxed Sm15Dy4Tl crystal, as listed in Alexandria.

POSCAR file:
```
Sm15Dy4Tl
1.0
-2.258 4.226 -1.606
0.675 -1.460 -4.791
-22.609 -11.911 0.448
Sm Dy Tl
15 4 1
Direct
0.500 0.000 0.097
0.500 0.500 0.197
0.500 0.500 0.601
0.000 0.500 0.097
0.500 0.000 0.500
0.000 0.500 0.500
0.500 0.000 0.903
0.500 0.000 0.701
0.500 0.500 0.803
0.500 0.500 0.000
0.000 0.500 0.299
0.000 0.500 0.701
0.500 0.000 0.299
0.000 0.500 0.903
0.500 0.500 0.399
0.000 0.000 0.198
0.000 0.000 0.600
0.000 0.000 0.400
0.000 0.000 0.802
0.000 0.000 0.000
```

Calculated values
* formation enthalpy at 0 K: -2.0 kJ/mol of atoms

Entry 3:
First-principles (PBE) data for a relaxed SrCaY2 crystal, as listed in Alexandria.

POSCAR file:
```
SrCaY2
1.0
-4.071 -2.201 4.603
-1.492 -4.866 4.086
3.249 2.077 5.497
Sr Y Ca
1 2 1
Direct
0.746 0.746 0.752
0.257 0.257 0.232
0.991 0.991 0.024
0.506 0.506 0.492
```

Calculated values
* formation enthalpy at 0 K: 17.3 kJ/mol of atoms
* offset from the most stable computed form: 96 meV per atom

Entry 4:
First-principles (PBE) data for a relaxed SrSmNpN3 crystal, as listed in Alexandria.

POSCAR file:
```
SrSmNpN3
1.0
3.683 0.000 0.000
0.000 7.642 0.703
0.000 -2.270 8.475
Sm Np N Sr
2 2 6 2
Direct
0.750 0.386 0.847
0.250 0.614 0.153
0.750 0.943 0.406
0.250 0.057 0.594
0.750 0.903 0.175
0.750 0.409 0.116
0.250 0.591 0.884
0.250 0.794 0.420
0.750 0.206 0.580
0.250 0.097 0.825
0.250 0.171 0.140
0.750 0.829 0.860
```

Calculated values
* ΔE_f (raw): -880 meV per atom

Entry 5:
First-principles (PBE) data for a relaxed InAsPdBr2 crystal, as listed in Alexandria.

POSCAR file:
```
InAsPdBr2
1.0
5.510 0.000 0.000
0.000 5.510 0.000
0.000 0.000 4.720
Br As In Pd
2 1 1 1
Direct
0.500 0.000 0.000
0.000 0.500 0.000
0.000 0.000 0.500
0.500 0.500 0.500
0.000 0.000 0.000
```

Calculated values
* offset from the most stable computed form: 0 meV per atom
* ΔE_f (raw): -27 meV per atom

Entry 6:
First-principles (PBE) data for a relaxed CrHgCl4 crystal, as listed in Alexandria.

POSCAR file:
```
CrHgCl4
1.0
6.049 0.343 0.442
1.251 7.783 3.338
0.300 1.105 8.288
Cl Hg Cr
8 2 2
Direct
0.154 0.659 0.859
0.380 0.213 0.393
0.346 0.982 0.859
0.654 0.018 0.141
0.880 0.106 0.607
0.120 0.894 0.393
0.620 0.787 0.607
0.846 0.341 0.141
0.250 0.281 0.938
0.750 0.719 0.062
0.250 0.938 0.624
0.750 0.062 0.376
```

Calculated values
* offset from the most stable computed form: 0 meV per atom
* ΔE_f (raw): -781 meV per atom

Entry 7:
First-principles (PBE) data for a relaxed IrPtAu2 crystal, as listed in Alexandria.

POSCAR file:
```
IrPtAu2
1.0
-3.598 -2.604 0.971
-3.737 0.233 -2.579
-1.099 -3.468 -2.728
Ir Au Pt
1 2 1
Direct
0.000 0.000 0.000
0.750 0.750 0.750
0.250 0.250 0.250
0.500 0.500 0.500
```

Calculated values
* formation enthalpy at 0 K: 40.4 kJ/mol of atoms
* offset from the most stable computed form: 252 meV per atom

Entry 8:
First-principles (PBE) data for a relaxed TcIrRu4 crystal, as listed in Alexandria.

POSCAR file:
```
TcIrRu4
1.0
-2.131 -4.465 0.816
-4.191 -1.262 -2.446
0.140 -3.532 -3.556
Ru Tc Ir
4 1 1
Direct
0.375 0.876 0.375
0.375 0.375 0.876
0.375 0.375 0.375
0.876 0.375 0.375
0.750 0.750 0.750
0.000 0.000 0.000
```

Calculated values
* formation enthalpy at 0 K: 52.7 kJ/mol of atoms
* offset from the most stable computed form: 619 meV per atom

Number 1: spin magnetization 0.0 Bohr magnetons per cell, Fermi-level density of states 0.00 states/eV/f.u.. Number 2: spin magnetization 0.0 Bohr magnetons per cell, Fermi-level density of states 26.96 states/eV/f.u.. Number 3: spin magnetization 1.2 Bohr magnetons per cell, Fermi-level density of states 6.78 states/eV/f.u.. Number 4: spin magnetization 0.6 Bohr magnetons per cell, Fermi-level density of states 1.96 states/eV/f.u.. Number 5: spin magnetization 0.0 Bohr magnetons per cell, Fermi-level density of states 3.36 states/eV/f.u.. Number 6: spin magnetization 5.8 Bohr magnetons per cell, Fermi-level density of states 1.46 states/eV/f.u.. Number 7: spin magnetization 0.9 Bohr magnetons per cell, Fermi-level density of states 4.75 states/eV/f.u.. Number 8: spin magnetization 0.0 Bohr magnetons per cell, Fermi-level density of states 11.37 states/eV/f.u..